1.
The following is a DFT calculation (GGA-PBE) of a relaxed Nd2Sn2Au crystal.

The space group is C2/m (No. 12) and the conventional cell measures 11.514, 4.670 and 11.265 Å, with angles of 90.00, 116.70 and 90.00 degrees. Symmetry generates all atoms from Nd at (0.004, 0.000, 0.327), Nd at (0.182, 0.000, 0.109), Sn at (0.037, 0.500, 0.888), Sn at (0.148, 0.500, 0.563) and Au at (0.212, 0.500, 0.336).

The value obtained for the raw total energy is -0.18149 hartree per atom.


2.
The following is a DFT calculation (GGA-PBE) of a relaxed NdSn2Au crystal.

The space group is P4/mmm (No. 123) and the conventional cell measures 4.686, 4.686 and 4.511 Å, with angles of 90.00, 90.00 and 90.00 degrees. Symmetry generates all atoms from Nd at (0.000, 0.000, 0.000), Sn at (0.000, 0.500, 0.500) and Au at (0.500, 0.500, 0.000).

The value obtained for the raw total energy is -0.16835 hartree per atom.


3.
The following is a DFT calculation (GGA-PBE) of a relaxed NdSn3Au6 crystal.

The space group is R3m (No. 160, hexagonal axes) and the conventional cell measures 12.7634, 12.7634 and 5.1521 Å, with angles of 90.00, 90.00 and 120.00 degrees. Symmetry generates all atoms from Nd at (0.0000, 0.0000, 0.0000), Sn at (0.0649, 0.5324, 0.8761), Au at (0.1548, 0.0774, 0.5141) and Au at (0.1912, 0.3825, 0.6871).

The value obtained for the raw total energy is -0.14234 hartree per atom.


4.
The following is a DFT calculation (GGA-PBE) of a relaxed NdSnAu crystal.

The space group is P6_3mc (No. 186) and the conventional cell measures 4.7864, 4.7864 and 7.6672 Å, with angles of 90.00, 90.00 and 120.00 degrees. Symmetry generates all atoms from Nd at (0.0000, 0.0000, 0.0000), Sn at (0.3333, 0.6667, 0.2248) and Au at (0.3333, 0.6667, 0.8167).

The value obtained for the raw total energy is -0.17835 hartree per atom.


5.
The following is a DFT calculation (GGA-PBE) of a relaxed Nd8SnAu2 crystal.

The space group is C2/m (No. 12) and the conventional cell measures 17.781, 5.098 and 8.156 Å, with angles of 90.00, 115.03 and 90.00 degrees. Symmetry generates all atoms from Nd at (0.044, 0.000, 0.261), Nd at (0.093, 0.500, 0.961), Nd at (0.180, 0.000, 0.777), Nd at (0.180, 0.500, 0.468), Sn at (0.000, 0.500, 0.500) and Au at (0.192, 0.000, 0.156).

The value obtained for the raw total energy is -0.17803 hartree per atom.


6.
The following is a DFT calculation (GGA-PBE) of a relaxed Nd7Sn2Au2 crystal.

The space group is Cmmm (No. 65) and the conventional cell measures 8.523, 11.614 and 7.242 Å, with angles of 90.00, 90.00 and 90.00 degrees. Symmetry generates all atoms from Nd at (0.000, 0.000, 0.000), Nd at (0.000, 0.500, 0.247), Nd at (0.250, 0.250, 0.269), Sn at (0.174, 0.000, 0.500) and Au at (0.000, 0.283, 0.000).

The value obtained for the raw total energy is -0.17386 hartree per atom.


7.
The following is a DFT calculation (GGA-PBE) of a relaxed Nd4SnAu crystal.

The space group is Cmcm (No. 63) and the conventional cell measures 5.652, 21.324 and 6.524 Å, with angles of 90.00, 90.00 and 90.00 degrees. Symmetry generates all atoms from Nd at (0.000, 0.057, 0.250), Nd at (0.000, 0.207, 0.006), Nd at (0.000, 0.386, 0.250), Sn at (0.000, 0.347, 0.750) and Au at (0.000, 0.080, 0.750).

The value obtained for the raw total energy is -0.17669 hartree per atom.


8.
The following is a DFT calculation (GGA-PBE) of a relaxed NdSnAu4 crystal.

The space group is F-43m (No. 216) and the conventional cell measures 8.043, 8.043 and 8.043 Å, with angles of 90.00, 90.00 and 90.00 degrees. Symmetry generates all atoms from Nd at (0.000, 0.000, 0.000), Sn at (0.250, 0.250, 0.250) and Au at (0.125, 0.125, 0.625).

For the polymorph energy (0 for the lowest one), the calculation gives 2 meV per atom. The value obtained for the raw total energy is -0.14904 hartree per atom.


9.
The following is a DFT calculation (GGA-PBE) of a relaxed Nd2SnAu6 crystal.

The space group is P-3m1 (No. 164) and the conventional cell measures 6.5400, 6.5400 and 5.4893 Å, with angles of 90.00, 90.00 and 120.00 degrees. Symmetry generates all atoms from Nd at (0.3333, 0.6667, 0.3259), Sn at (0.0000, 0.0000, 0.5000) and Au at (0.1881, 0.3762, 0.8222).

The value obtained for the raw total energy is -0.15755 hartree per atom.


10.
The following is a DFT calculation (GGA-PBE) of a relaxed NdSnAu crystal.

The space group is P-3m1 (No. 164) and the conventional cell measures 4.8530, 4.8530 and 7.7722 Å, with angles of 90.00, 90.00 and 120.00 degrees. Symmetry generates all atoms from Nd at (0.0000, 0.0000, 0.2165), Sn at (0.3333, 0.6667, 0.5608) and Au at (0.3333, 0.6667, 0.9901).

The value obtained for the raw total energy is -0.16924 hartree per atom.


11.
The following is a DFT calculation (GGA-PBE) of a relaxed NdSn2Au crystal.

The space group is R-3m (No. 166, hexagonal axes) and the conventional cell measures 3.5360, 3.5360 and 31.4706 Å, with angles of 90.00, 90.00 and 120.00 degrees. Symmetry generates all atoms from Nd at (0.0000, 0.0000, 0.0000), Sn at (0.0000, 0.0000, 0.1020) and Au at (0.0000, 0.0000, 0.5000).

The value obtained for the raw total energy is -0.14845 hartree per atom.


12.
The following is a DFT calculation (GGA-PBE) of a relaxed NdSn3Au3 crystal.

The space group is R-3 (No. 148, hexagonal axes) and the conventional cell measures 8.4652, 8.4652 and 18.0700 Å, with angles of 90.00, 90.00 and 120.00 degrees. Symmetry generates all atoms from Nd at (0.0000, 0.0000, 0.1665), Sn at (0.0014, 0.6877, 0.5925) and Au at (0.0020, 0.6565, 0.4178).

For the polymorph energy (0 for the lowest one), the calculation gives 0 meV per atom. The value obtained for the raw total energy is -0.15334 hartree per atom.